Record 1
This record from the Alexandria database describes a relaxed structure of Y2ZrIr2. The functional is PBE.

```
10
Lattice="8.242 0.000 0.000 0.000 8.242 0.000 0.000 0.000 3.113" Properties=species:S:1:pos:R:3 pbc="T T T"
Y 3.009 7.130 0.000
Y 7.130 5.233 0.000
Y 5.233 1.112 0.000
Y 1.112 3.009 0.000
Ir 1.389 5.510 1.556
Ir 5.510 6.853 1.556
Ir 6.853 2.732 1.556
Ir 2.732 1.389 1.556
Zr 0.000 0.000 0.000
Zr 4.121 4.121 0.000
```

The formation energy comes out at -144 kJ/mol of formula units.

---

Record 2
This record from the Alexandria database describes a relaxed structure of Sr2ScTaW. The functional is PBE.

```
5
Lattice="5.781 0.000 0.000 0.000 4.821 0.000 0.000 0.000 5.781" Properties=species:S:1:pos:R:3 pbc="T T T"
Sc 0.000 0.000 0.000
Sr 0.000 0.000 2.891
Sr 2.891 0.000 0.000
W 2.891 2.410 2.891
Ta 0.000 2.410 0.000
```

The formation energy comes out at 1014 kJ/mol of formula units.

---

Record 3
This record from the Alexandria database describes a relaxed structure of Er8CN3. The functional is PBE.

```
12
Lattice="6.963 0.000 0.000 -3.481 4.962 -3.434 0.000 0.016 7.100" Properties=species:S:1:pos:R:3 pbc="T T T"
Er 0.000 2.571 3.725
Er 3.481 2.407 -0.059
Er 1.749 0.085 5.424
Er 5.213 0.085 5.424
Er 3.481 2.554 3.715
Er 0.000 2.424 -0.049
Er -1.732 4.893 -1.758
Er 1.732 4.893 -1.758
C 0.000 0.000 0.000
N 3.481 0.000 0.000
N 1.741 2.481 -1.717
N -1.741 2.481 -1.717
```

---

Record 4
This record from the Alexandria database describes a relaxed structure of LaSmDy5Tm2. The functional is PBE.

```
18
Lattice="5.613 0.000 0.000 -2.807 9.924 0.000 0.000 0.000 10.566" Properties=species:S:1:pos:R:3 pbc="T T T"
La 2.807 1.622 10.009
La 0.000 8.302 4.726
Sm 2.807 5.948 5.421
Sm 0.000 3.976 0.138
Dy 0.000 7.712 0.261
Dy 2.807 4.353 8.588
Dy 0.000 9.487 7.775
Dy 0.000 5.906 7.496
Dy 2.807 9.596 5.565
Dy 2.807 2.212 5.544
Dy 0.000 5.571 3.305
Dy 2.807 0.437 2.491
Dy 2.807 4.017 2.213
Dy 0.000 0.328 0.282
Tm 2.807 7.673 8.665
Tm 0.000 2.205 7.757
Tm 0.000 2.251 3.382
Tm 2.807 7.719 2.474
```

The formation energy comes out at 145 kJ/mol of formula units.

---

Record 5
This record from the Alexandria database describes a relaxed structure of AlCdPt2IN. The functional is PBE.

```
6
Lattice="4.090 -0.008 0.030 1.975 4.043 -0.002 0.582 0.638 7.885" Properties=species:S:1:pos:R:3 pbc="T T T"
Al 2.851 2.451 2.666
Cd 4.765 1.200 5.353
Pt 0.808 1.037 2.545
Pt 4.865 3.507 3.899
I 4.581 4.043 7.087
N 2.707 3.685 1.219
```

---

Record 6
This record from the Alexandria database describes a relaxed structure of Tb3Ce2PmY6. The functional is PBE.

```
12
Lattice="6.184 -0.001 0.004 -3.091 5.356 0.004 -1.038 -1.797 11.619" Properties=species:S:1:pos:R:3 pbc="T T T"
Tb -2.068 3.567 5.813
Tb 4.123 -0.009 5.813
Tb 1.027 1.779 5.813
Ce 0.001 3.570 0.004
Ce 3.092 1.785 0.004
Pm 0.000 0.000 0.000
Y 3.093 1.762 8.725
Y 2.054 3.557 2.906
Y -1.038 1.796 2.902
Y -0.020 3.560 8.725
Y 0.001 0.001 8.721
Y 2.075 -0.001 2.902
```

The formation energy comes out at 59 kJ/mol of formula units.

---

Record 7
This record from the Alexandria database describes a relaxed structure of YZrSc2O. The functional is PBE.

```
5
Lattice="-1.213 -4.342 0.438 0.946 -0.705 -4.373 4.565 -1.157 1.174" Properties=species:S:1:pos:R:3 pbc="T T T"
Y 2.149 -3.102 -1.381
Sc 0.473 -0.353 -2.187
Sc -0.606 -2.171 0.219
O 0.000 0.000 0.000
Zr 2.282 -0.578 0.587
```

---

Record 8
This record from the Alexandria database describes a relaxed structure of PrEr2Hg2. The functional is PBE.

```
10
Lattice="3.693 0.000 -0.494 0.000 5.396 0.000 -0.017 0.000 13.892" Properties=species:S:1:pos:R:3 pbc="T T T"
Pr 3.133 4.047 9.401
Pr 0.543 1.349 3.997
Er 0.178 4.047 1.309
Er 3.498 1.349 12.089
Er 0.864 4.047 6.449
Er 2.812 1.349 6.949
Hg 2.377 4.047 3.684
Hg 1.299 1.349 9.714
Hg 1.669 4.047 12.444
Hg 2.007 1.349 0.954
```

The formation energy comes out at -183 kJ/mol of formula units.

---

Record 9
This record from the Alexandria database describes a relaxed structure of RbV3Bi. The functional is PBE.

```
5
Lattice="-2.398 -3.993 -0.102 2.570 -1.451 -3.605 3.057 -1.912 2.950" Properties=species:S:1:pos:R:3 pbc="T T T"
Bi 1.614 -3.678 -0.379
Rb 0.000 0.000 0.000
V 1.285 -0.726 -1.802
V 1.529 -0.956 1.475
V -1.199 -1.996 -0.051
```

The formation energy comes out at 1193 kJ/mol of formula units.

---

Record 10
This record from the Alexandria database describes a relaxed structure of CaPrAgHg. The functional is PBE.

```
4
Lattice="-0.713 -4.596 -2.640 3.882 -1.907 -3.145 2.716 -4.370 1.457" Properties=species:S:1:pos:R:3 pbc="T T T"
Pr 0.000 0.000 0.000
Ca 2.943 -5.437 -2.164
Hg 4.414 -8.155 -3.246
Ag 1.471 -2.718 -1.082
```

The formation energy comes out at -161 kJ/mol of formula units.

---

Record 11
This record from the Alexandria database describes a relaxed structure of DyCr4. The functional is PBE.

```
5
Lattice="4.829 0.000 0.000 0.000 4.829 0.000 0.000 0.000 4.829" Properties=species:S:1:pos:R:3 pbc="T T T"
Cr 0.000 0.000 0.000
Cr 2.415 0.000 2.415
Cr 0.000 2.415 2.415
Cr 2.415 2.415 0.000
Dy 2.415 2.415 2.415
```

The formation energy comes out at 1003 kJ/mol of formula units.

---

Record 12
This record from the Alexandria database describes a relaxed structure of CeY2MgAu4. The functional is PBE.

```
8
Lattice="-2.742 -4.215 0.225 2.157 -4.335 1.377 -2.039 -1.222 8.548" Properties=species:S:1:pos:R:3 pbc="T T T"
Ce 0.000 0.000 0.000
Y -1.927 -7.366 7.430
Y -0.698 -2.406 2.720
Mg -1.312 -4.886 5.075
Au -1.948 -4.325 7.839
Au -1.263 -7.952 4.547
Au -1.361 -1.820 5.603
Au -0.676 -5.448 2.311
```

The formation energy comes out at -561 kJ/mol of formula units.

---

Total magnetic moment values, unit μB/atom, following the record order: 0.000; 0.738; 0.000; 0.000; 0.000; 0.157; 0.000; 0.000; 0.354; 0.000; 1.202; 0.116.
VASP energy values, unit eV per atom, following the record order: -8.137; -4.799; -6.822; -4.456; -4.370; -5.724; -7.566; -3.280; -3.969; -2.901; -6.539; -4.922.